Entry 1:
The following is a GGA-PBEsol calculation of crystalline LiMn2Sb at its relaxed geometry, from Alexandria.

Summary:
The uncorrected formation energy is 149 meV per atom. As for the density of states at the Fermi level: 2.64 states/eV/f.u. The total energy comes out at -6.362 eV/atom.

a b c (Å): 3.842 3.842 7.785
angles (deg): 90.00 90.00 90.00
Space group I-4m2 (No. 119)
Asymmetric unit:
Li (0.000, 0.000, 0.000) x2
Mn (0.000, 0.000, 0.500) x2
Mn (0.000, 0.500, 0.750) x2
Sb (0.000, 0.500, 0.250) x2

***

Entry 2:
The following is a GGA-PBEsol calculation of crystalline Li2MnSb at its relaxed geometry, from Alexandria.

Summary:
The uncorrected formation energy is -143 meV per atom. As for the density of states at the Fermi level: 1.35 states/eV/f.u. The total energy comes out at -4.706 eV/atom.

a b c (Å): 3.937 3.937 4.308
angles (deg): 90.00 90.00 90.00
Space group P4/mmm (No. 123)
Asymmetric unit:
Li (0.000, 0.500, 0.000) x2
Mn (0.000, 0.000, 0.500) x1
Sb (0.500, 0.500, 0.500) x1

***

Entry 3:
The following is a GGA-PBEsol calculation of crystalline LiSc3Mn at its relaxed geometry, from Alexandria.

Summary:
The value obtained for the formation energy is 0.896 eV/atom. As for the density of states at the Fermi level: 6.56 states/eV/f.u. The total energy comes out at -5.413 eV/atom.

a b c (Å): 4.817 4.817 4.817
angles (deg): 90.00 90.00 90.00
Space group Pm-3m (No. 221)
Asymmetric unit:
Li (0.000, 0.000, 0.000) x1
Sc (0.000, 0.000, 0.500) x3
Mn (0.500, 0.500, 0.500) x1

***

Entry 4:
The following is a GGA-PBEsol calculation of crystalline LiScMn at its relaxed geometry, from Alexandria.

Summary:
The value obtained for the formation energy is 0.295 eV/atom. As for the density of states at the Fermi level: 1.77 states/eV/f.u. The distance to the lowest polymorph of the same formula comes out at 0.000 eV/atom. The total energy comes out at -5.816 eV/atom.

a b c (Å): 3.040 3.040 11.252
angles (deg): 90.00 90.00 90.00
Space group I4mm (No. 107)
Asymmetric unit:
Li (0.000, 0.000, 0.000) x2
Sc (0.000, 0.000, 0.294) x2
Mn (0.000, 0.000, 0.646) x2

***

Entry 5:
The following is a GGA-PBEsol calculation of crystalline LiScMn at its relaxed geometry, from Alexandria.

Summary:
The value obtained for the formation energy is 0.825 eV/atom. As for the density of states at the Fermi level: 3.38 states/eV/f.u. The distance to the lowest polymorph of the same formula comes out at 0.530 eV/atom. The total energy comes out at -5.285 eV/atom.

a b c (Å): 6.226 6.226 6.226
angles (deg): 90.00 90.00 90.00
Space group F-43m (No. 216)
Asymmetric unit:
Li (0.000, 0.000, 0.000) x4
Sc (0.000, 0.000, 0.500) x4
Mn (0.250, 0.250, 0.750) x4

***

Entry 6:
The following is a GGA-PBEsol calculation of crystalline LiMn2Se at its relaxed geometry, from Alexandria.

Summary:
The uncorrected formation energy is 45 meV per atom. As for the density of states at the Fermi level: 1.34 states/eV/f.u. The total energy comes out at -6.290 eV/atom.

a b c (Å): 5.740 5.740 5.740
angles (deg): 90.00 90.00 90.00
Space group F-43m (No. 216)
Asymmetric unit:
Li (0.000, 0.000, 0.000) x4
Mn (0.000, 0.000, 0.500) x4
Mn (0.250, 0.250, 0.250) x4
Se (0.250, 0.250, 0.750) x4